Record 1
# KHg2As

Crystalline KHg2As at its relaxed geometry (PBE-GGA, Alexandria).

Results
As for the total energy: -1.5592 eV/atom. Its space group is I-4m2. The calculation puts the density of states at the Fermi level at 0.50 states/eV per atom.

a = 6.157 Å, b = 6.157 Å, c = 6.157 Å
α = 136.54°, β = 136.54°, γ = 63.15°
Element x y z (fractional)
As (0.750, 0.250, 0.500)
Hg (0.000, 0.000, 0.000)
Hg (0.250, 0.750, 0.500)
K (0.500, 0.500, 0.000)

=====

Record 2
# AlN

Crystalline AlN at its relaxed geometry (PBE-GGA, Alexandria).

Results
As for the total energy: -7.2843 eV/atom. Its space group is Pmmn. The calculation puts the density of states at the Fermi level at 0.00 states/eV per atom. The calculation puts the formation energy from raw total energies at -1.250 eV per atom.

a = 3.178 Å, b = 4.519 Å, c = 9.660 Å
α = 90.00°, β = 90.00°, γ = 90.00°
Element x y z (fractional)
Al (0.000, 0.910, 0.849)
Al (0.500, 0.090, 0.651)
Al (0.500, 0.090, 0.349)
Al (0.000, 0.910, 0.151)
Al (0.000, 0.598, 0.500)
Al (0.500, 0.402, 0.000)
N (0.000, 0.856, 0.653)
N (0.500, 0.144, 0.847)
N (0.500, 0.144, 0.153)
N (0.000, 0.856, 0.347)
N (0.000, 0.642, 0.000)
N (0.500, 0.358, 0.500)

=====

Record 3
# YTiSeN2

Crystalline YTiSeN2 at its relaxed geometry (PBE-GGA, Alexandria).

Results
As for the total energy: -6.2128 eV/atom. Its relative energy among the computed polymorphs is 1.376 eV/atom. Its space group is P4/mmm. The calculation puts the density of states at the Fermi level at 1.86 states/eV per atom. The calculation puts the formation energy from raw total energies at 0.686 eV per atom.

a = 4.248 Å, b = 4.248 Å, c = 5.529 Å
α = 90.00°, β = 90.00°, γ = 90.00°
Element x y z (fractional)
Y (0.000, 0.000, 0.000)
N (0.000, 0.500, 0.000)
N (0.500, 0.000, 0.000)
Se (0.000, 0.000, 0.500)
Ti (0.500, 0.500, 0.500)

=====

Record 4
# Pr6NdIn

Crystalline Pr6NdIn at its relaxed geometry (PBE-GGA, Alexandria).

Results
As for the total energy: -4.6412 eV/atom. Its relative energy among the computed polymorphs is 0.000 eV/atom. Its space group is P4/mmm. The calculation puts the density of states at the Fermi level at 1.16 states/eV per atom.

a = 5.085 Å, b = 5.085 Å, c = 10.495 Å
α = 90.00°, β = 90.00°, γ = 90.00°
Element x y z (fractional)
Pr (0.500, 0.500, 0.000)
Pr (0.500, 0.500, 0.500)
Pr (0.500, 0.000, 0.241)
Pr (0.500, 0.000, 0.759)
Pr (0.000, 0.500, 0.241)
Pr (0.000, 0.500, 0.759)
Nd (0.000, 0.000, 0.500)
In (0.000, 0.000, 0.000)

=====

Record 5
# Hf2TiAgN

Crystalline Hf2TiAgN at its relaxed geometry (PBE-GGA, Alexandria).

Results
As for the total energy: -8.5493 eV/atom. Its space group is P4/mmm. The calculation puts the density of states at the Fermi level at 0.62 states/eV per atom. The calculation puts the formation energy from raw total energies at -0.754 eV per atom.

a = 4.438 Å, b = 4.438 Å, c = 4.146 Å
α = 90.00°, β = 90.00°, γ = 90.00°
Element x y z (fractional)
N (0.000, 0.000, 0.000)
Hf (0.000, 0.500, 0.000)
Hf (0.500, 0.000, 0.000)
Ag (0.500, 0.500, 0.500)
Ti (0.000, 0.000, 0.500)

=====

Record 6
# SbPb3

Crystalline SbPb3 at its relaxed geometry (PBE-GGA, Alexandria).

Results
As for the total energy: -3.7720 eV/atom. Its space group is P2_1/m. The calculation puts the density of states at the Fermi level at 0.51 states/eV per atom. The calculation puts the formation energy from raw total energies at 0.040 eV per atom.

a = 4.241 Å, b = 6.892 Å, c = 8.827 Å
α = 97.35°, β = 90.00°, γ = 90.00°
Element x y z (fractional)
Sb (0.750, 0.798, 0.656)
Sb (0.250, 0.202, 0.344)
Pb (0.750, 0.897, 0.131)
Pb (0.250, 0.103, 0.869)
Pb (0.750, 0.386, 0.125)
Pb (0.250, 0.614, 0.875)
Pb (0.750, 0.301, 0.613)
Pb (0.250, 0.699, 0.387)

=====

Record 7
# Al2V6Ga

Crystalline Al2V6Ga at its relaxed geometry (PBE-GGA, Alexandria).

Results
As for the total energy: -7.1598 eV/atom. Its relative energy among the computed polymorphs is 0.244 eV/atom. Its space group is C2/m. The calculation puts the density of states at the Fermi level at 1.02 states/eV per atom.

a = 4.952 Å, b = 5.611 Å, c = 5.611 Å
α = 59.94°, β = 89.92°, γ = 89.92°
Element x y z (fractional)
Al (0.823, 0.666, 0.666)
Al (0.177, 0.334, 0.334)
V (0.334, 0.367, 0.817)
V (0.334, 0.816, 0.816)
V (0.334, 0.817, 0.367)
V (0.666, 0.633, 0.183)
V (0.666, 0.184, 0.184)
V (0.666, 0.183, 0.633)
Ga (0.000, 0.000, 0.000)

=====

Record 8
# Ce7HgBi3

Crystalline Ce7HgBi3 at its relaxed geometry (PBE-GGA, Alexandria).

Results
As for the total energy: -5.1710 eV/atom. Its space group is C2/m. The calculation puts the density of states at the Fermi level at 3.25 states/eV per atom.

a = 5.841 Å, b = 8.443 Å, c = 8.443 Å
α = 87.72°, β = 114.53°, γ = 114.53°
Element x y z (fractional)
Ce (0.190, 0.183, 0.183)
Ce (0.284, 0.066, 0.576)
Ce (0.716, 0.424, 0.934)
Ce (0.284, 0.576, 0.066)
Ce (0.000, 0.500, 0.500)
Ce (0.716, 0.934, 0.424)
Ce (0.810, 0.817, 0.817)
Hg (0.500, 0.500, 0.500)
Bi (0.000, 0.767, 0.233)
Bi (0.500, 0.000, 0.000)
Bi (0.000, 0.233, 0.767)